## Na2BeGeC (PBE)

Data for crystalline Na2BeGeC at its relaxed geometry.

- SG = P4/mmm
- density (g cm⁻³) = 2.34
- energy of formation from the pure elements (eV/atom) = 0.99
- magnetic moment (μB/cell) = 0.0

Geometry as CIF:
```
data_Na2BeGeC
_chemical_formula_sum 'Na2 Be1 Ge1 C1'
_cell_length_a 5.001
_cell_length_b 5.001
_cell_length_c 3.965
_cell_angle_alpha 90.00
_cell_angle_beta 90.00
_cell_angle_gamma 90.00
_space_group_name_H-M_alt 'P 1'
_space_group_IT_number 1
loop_
_space_group_symop_operation_xyz
'x,y,z'
loop_
_atom_site_label
_atom_site_type_symbol
_atom_site_fract_x
_atom_site_fract_y
_atom_site_fract_z
_atom_site_occupancy
Na1 Na 0.000 0.500 0.000 1
Na2 Na 0.500 0.000 0.000 1
Be1 Be 0.000 0.000 0.500 1
Ge1 Ge 0.500 0.500 0.500 1
C1 C 0.500 0.500 0.000 1
```